No. 1
Mn2BeTe: relaxed, PBEsol.

Lattice parameters (Å, degrees): 5.7775 5.7775 5.7775 90.00 90.00 90.00
Last column: nearest neighbours and their distance in Å.
Space group Fm-3m (No. 225)
Asymmetric unit:
1 Mn 0.2500 0.2500 0.2500  4 Te 2.50, 4 Be 2.50
2 Be 0.0000 0.0000 0.0000  8 Mn 2.50
3 Te 0.0000 0.0000 0.5000  8 Mn 2.50

Total moment ... 5.962 μB/cell
Distance to the lowest polymorph of the same formula ... 0 meV/atom
ΔE_f (raw) ... 317 meV/atom



No. 2
La2MgZn: relaxed, PBEsol.

Lattice parameters (Å, degrees): 7.5794 7.5794 7.5794 90.00 90.00 90.00
Last column: nearest neighbours and their distance in Å.
Space group Fm-3m (No. 225)
Asymmetric unit:
1 La 0.2500 0.2500 0.2500  4 Mg 3.28, 4 Zn 3.28
2 Mg 0.0000 0.0000 0.0000  8 La 3.28
3 Zn 0.0000 0.0000 0.5000  8 La 3.28

Total moment ... 0.001 μB/cell
Energy of formation ... -0.15 eV/atom
Distance to the lowest polymorph of the same formula ... 40 meV/atom



No. 3
V2CrO7: relaxed, PBEsol.

Lattice parameters (Å, degrees): 8.4109 8.4109 8.4109 90.00 90.00 90.00
Last column: nearest neighbours and their distance in Å.
Space group Pa-3 (No. 205)
Asymmetric unit:
1 V 0.1208 0.1208 0.1208  4 O 1.69-1.76
2 Cr 0.0000 0.0000 0.5000  6 O 1.86
3 O 0.0000 0.0000 0.0000  2 V 1.76
4 O 0.0639 0.1876 0.5984  1 V 1.69, 1 Cr 1.86

Total moment ... 8.001 μB/cell
ΔE_f (raw) ... -2144 meV/atom



No. 4
Ba3TiIr: relaxed, PBEsol.

Lattice parameters (Å, degrees): 5.6532 5.6532 5.6532 90.00 90.00 90.00
Last column: nearest neighbours and their distance in Å.
Space group Pm-3m (No. 221)
Asymmetric unit:
1 Ba 0.0000 0.0000 0.5000  2 Ti 2.83
2 Ti 0.0000 0.0000 0.0000  6 Ba 2.83
3 Ir 0.5000 0.5000 0.5000  12 Ba 4.00

Total moment ... 3.028 μB/cell
Energy of formation ... 1.34 eV/atom